1.
Density functional theory data (PBE) for Ta2MoRh after structural relaxation.

```
Ta2MoRh
1.0
1.660 -2.284 0.000
1.660 2.284 0.000
0.000 0.000 8.728
Ta Mo Rh
2 1 1
Cartesian
0.000 0.000 2.132
0.000 0.000 6.596
1.660 0.000 4.364
1.660 0.000 0.000
```

- Total magnetization: 0.00 μB per formula unit
- DOS(E_F): 0.9923 states/eV per atom
- Raw total energy: -42.76 eV/cell
- Space group: No. 65
- Offset from the most stable computed form: 0.129 eV per atom
- Formation energy: -0.22 eV/atom

---

2.
Density functional theory data (PBE) for TaMoRh2 after structural relaxation.

```
TaMoRh2
1.0
2.798 -3.910 0.000
2.798 3.910 0.000
-0.007 0.000 2.812
Ta Mo Rh
1 1 2
Cartesian
0.000 0.000 0.000
2.798 0.000 0.000
1.396 1.955 1.406
1.396 -1.955 1.406
```

- Total magnetization: 0.00 μB per formula unit
- DOS(E_F): 0.9802 states/eV per atom
- Raw total energy: -38.74 eV/cell
- Space group: No. 12
- Offset from the most stable computed form: 0.017 eV per atom
- Formation energy: -0.34 eV/atom

---

3.
Density functional theory data (PBE) for TaMoRh2 after structural relaxation.

```
TaMoRh2
1.0
4.636 -1.412 0.000
4.636 1.412 0.000
-0.857 0.000 4.742
Ta Mo Rh
1 1 2
Cartesian
0.000 0.000 0.000
4.207 0.000 2.371
1.676 0.000 3.533
6.738 0.000 1.208
```

- Total magnetization: 0.00 μB per formula unit
- DOS(E_F): 0.8644 states/eV per atom
- Raw total energy: -38.02 eV/cell
- Space group: No. 12
- Offset from the most stable computed form: 0.196 eV per atom
- Formation energy: -0.16 eV/atom

---

Q: raw total energy of number 2 (TaMoRh2)?
A: -38.74 eV/cell